# 1
Below is a relaxed structure of LaTbPr4Ho2, with properties calculated at the GGA-PBE level.

It has space group P2/m (No. 10), with a = 6.317 Å, b = 3.672 Å, c = 12.054 Å, α = 90.00°, β = 100.19° and γ = 90.00°. The distinct sites, in fractional coordinates, are La at (0.000, 0.000, 0.000), Tb at (0.500, 0.500, 0.000), Pr at (0.249, 0.000, 0.747), Pr at (0.252, 0.500, 0.255), Ho at (0.000, 0.500, 0.500) and Ho at (0.500, 0.000, 0.500).

As for the density of states at the Fermi level: 11.37 states/eV per cell.


# 2
Below is a relaxed structure of LaTbPr2Ho4, with properties calculated at the GGA-PBE level.

It has space group P-1 (No. 2), with a = 7.258 Å, b = 7.262 Å, c = 10.044 Å, α = 89.96°, β = 89.95° and γ = 89.64°. The distinct sites, in fractional coordinates, are La at (0.000, 0.000, 0.000), La at (0.000, 0.500, 0.000), Tb at (0.000, 0.000, 0.500), Tb at (0.500, 0.000, 0.000), Pr at (0.000, 0.500, 0.500), Pr at (0.500, 0.000, 0.500), Pr at (0.500, 0.500, 0.000), Pr at (0.500, 0.500, 0.500), Ho at (0.251, 0.248, 0.251), Ho at (0.251, 0.248, 0.749), Ho at (0.251, 0.752, 0.251) and Ho at (0.251, 0.752, 0.749).

As for the density of states at the Fermi level: 20.50 states/eV per cell.


# 3
Below is a relaxed structure of LaTb2Pr6Ho, with properties calculated at the GGA-PBE level.

It has space group C2/c (No. 15), with a = 9.391 Å, b = 15.412 Å, c = 9.842 Å, α = 90.00°, β = 97.46° and γ = 90.00°. The distinct sites, in fractional coordinates, are La at (0.000, 0.027, 0.250), Tb at (0.249, 0.049, 0.548), Pr at (0.065, 0.181, 0.945), Pr at (0.097, 0.393, 0.118), Pr at (0.214, 0.223, 0.314) and Ho at (0.000, 0.410, 0.750).

As for the density of states at the Fermi level: 58.56 states/eV per cell.


# 4
Below is a relaxed structure of LaTb2Pr6Ho3, with properties calculated at the GGA-PBE level.

It has space group C2/m (No. 12), with a = 6.332 Å, b = 10.971 Å, c = 11.990 Å, α = 90.00°, β = 100.12° and γ = 90.00°. The distinct sites, in fractional coordinates, are La at (0.000, 0.000, 0.000), Tb at (0.000, 0.333, 0.000), Pr at (0.248, 0.333, 0.747), Pr at (0.249, 0.000, 0.747), Ho at (0.000, 0.167, 0.500) and Ho at (0.000, 0.500, 0.500).

As for the density of states at the Fermi level: 30.18 states/eV per cell.


# 5
Below is a relaxed structure of La3TbPr2Ho6, with properties calculated at the GGA-PBE level.

It has space group C2/m (No. 12), with a = 6.280 Å, b = 10.877 Å, c = 11.854 Å, α = 90.00°, β = 100.15° and γ = 90.00°. The distinct sites, in fractional coordinates, are La at (0.000, 0.000, 0.000), La at (0.000, 0.333, 0.000), Tb at (0.000, 0.500, 0.500), Pr at (0.000, 0.166, 0.500), Ho at (0.249, 0.334, 0.748) and Ho at (0.250, 0.000, 0.748).

As for the density of states at the Fermi level: 28.26 states/eV per cell.


# 6
Below is a relaxed structure of La3Tb6Pr2Ho, with properties calculated at the GGA-PBE level.

It has space group C2/m (No. 12), with a = 6.298 Å, b = 10.913 Å, c = 11.957 Å, α = 90.00°, β = 100.10° and γ = 90.00°. The distinct sites, in fractional coordinates, are La at (0.000, 0.000, 0.000), La at (0.000, 0.333, 0.000), Tb at (0.248, 0.334, 0.747), Tb at (0.250, 0.000, 0.748), Pr at (0.000, 0.166, 0.500) and Ho at (0.000, 0.500, 0.500).

As for the density of states at the Fermi level: 30.88 states/eV per cell.


# 7
Below is a relaxed structure of La2TbPrHo4, with properties calculated at the GGA-PBE level.

It has space group Imma (No. 74), with a = 6.830 Å, b = 11.926 Å, c = 13.309 Å, α = 90.00°, β = 90.00° and γ = 90.00°. The distinct sites, in fractional coordinates, are La at (0.000, 0.000, 0.000), La at (0.250, 0.250, 0.250), Tb at (0.250, 0.250, 0.750), Pr at (0.000, 0.000, 0.500), Ho at (0.000, 0.004, 0.750) and Ho at (0.249, 0.250, 0.504).

As for the density of states at the Fermi level: 76.24 states/eV per cell.


# 8
Below is a relaxed structure of La2Tb6Pr3Ho, with properties calculated at the GGA-PBE level.

It has space group C2/m (No. 12), with a = 6.297 Å, b = 10.906 Å, c = 11.955 Å, α = 90.00°, β = 100.09° and γ = 90.00°. The distinct sites, in fractional coordinates, are La at (0.000, 0.166, 0.000), Tb at (0.249, 0.334, 0.250), Tb at (0.249, 0.500, 0.750), Pr at (0.000, 0.000, 0.500), Pr at (0.000, 0.333, 0.500) and Ho at (0.000, 0.500, 0.000).

As for the density of states at the Fermi level: 29.57 states/eV per cell.


# 9
Below is a relaxed structure of La2Tb2PrHo2, with properties calculated at the GGA-PBE level.

It has space group C2/m (No. 12), with a = 11.467 Å, b = 5.124 Å, c = 8.135 Å, α = 90.00°, β = 98.07° and γ = 90.00°. The distinct sites, in fractional coordinates, are La at (0.143, 0.000, 0.428), Tb at (0.071, 0.500, 0.718), Pr at (0.000, 0.000, 0.000) and Ho at (0.216, 0.500, 0.139).

As for the density of states at the Fermi level: 22.80 states/eV per cell.


# 10
Below is a relaxed structure of La5TbPrHo2, with properties calculated at the GGA-PBE level.

It has space group Cmc2_1 (No. 36), with a = 5.528 Å, b = 21.770 Å, c = 10.703 Å, α = 90.00°, β = 90.00° and γ = 90.00°. The distinct sites, in fractional coordinates, are La at (0.000, 0.000, 0.000), La at (0.000, 0.122, 0.250), La at (0.000, 0.220, 0.941), La at (0.000, 0.221, 0.560), La at (0.000, 0.500, 0.250), Tb at (0.000, 0.100, 0.750), Pr at (0.000, 0.284, 0.250), Ho at (0.000, 0.387, 0.002) and Ho at (0.000, 0.388, 0.498).

As for the density of states at the Fermi level: 53.13 states/eV per cell.


# 11
Below is a relaxed structure of La2TbPrHo5, with properties calculated at the GGA-PBE level.

It has space group I4/mcm (No. 140), with a = 8.712 Å, b = 8.712 Å, c = 15.747 Å, α = 90.00°, β = 90.00° and γ = 90.00°. The distinct sites, in fractional coordinates, are La at (0.117, 0.383, 0.000), Tb at (0.000, 0.500, 0.250), Pr at (0.000, 0.000, 0.250), Ho at (0.000, 0.000, 0.000) and Ho at (0.214, 0.286, 0.360).

As for the density of states at the Fermi level: 46.86 states/eV per cell.


# 12
Below is a relaxed structure of La5TbPr2Ho, with properties calculated at the GGA-PBE level.

It has space group I4/mcm (No. 140), with a = 8.761 Å, b = 8.761 Å, c = 16.944 Å, α = 90.00°, β = 90.00° and γ = 90.00°. The distinct sites, in fractional coordinates, are La at (0.000, 0.000, 0.000), La at (0.215, 0.285, 0.144), Tb at (0.000, 0.500, 0.250), Pr at (0.123, 0.377, 0.500) and Ho at (0.000, 0.000, 0.250).

As for the density of states at the Fermi level: 67.38 states/eV per cell.


# 13
Below is a relaxed structure of La2TbPrHo2, with properties calculated at the GGA-PBE level.

It has space group Pmma (No. 51), with a = 7.107 Å, b = 5.757 Å, c = 10.003 Å, α = 90.00°, β = 90.00° and γ = 90.00°. The distinct sites, in fractional coordinates, are La at (0.000, 0.000, 0.000), La at (0.250, 0.500, 0.168), Tb at (0.250, 0.000, 0.664), Pr at (0.000, 0.500, 0.500), Ho at (0.250, 0.000, 0.334) and Ho at (0.250, 0.500, 0.832).

As for the density of states at the Fermi level: 18.94 states/eV per cell.


# 14
Below is a relaxed structure of LaTb4Pr2Ho, with properties calculated at the GGA-PBE level.

It has space group Pmmm (No. 47), with a = 5.121 Å, b = 5.147 Å, c = 10.182 Å, α = 90.00°, β = 90.00° and γ = 90.00°. The distinct sites, in fractional coordinates, are La at (0.000, 0.000, 0.000), Tb at (0.000, 0.500, 0.254), Tb at (0.500, 0.000, 0.254), Pr at (0.000, 0.000, 0.500), Pr at (0.500, 0.500, 0.000) and Ho at (0.500, 0.500, 0.500).

As for the density of states at the Fermi level: 11.48 states/eV per cell.


# 15
Below is a relaxed structure of La3TbPrHo, with properties calculated at the GGA-PBE level.

It has space group P2_1/m (No. 11), with a = 8.142 Å, b = 5.232 Å, c = 10.442 Å, α = 90.00°, β = 108.70° and γ = 90.00°. The distinct sites, in fractional coordinates, are La at (0.171, 0.250, 0.041), La at (0.171, 0.250, 0.543), La at (0.172, 0.750, 0.292), Tb at (0.498, 0.750, 0.626), Pr at (0.171, 0.750, 0.793) and Ho at (0.500, 0.250, 0.877).

As for the density of states at the Fermi level: 22.21 states/eV per cell.


# 16
Below is a relaxed structure of LaTbPr6Ho2, with properties calculated at the GGA-PBE level.

It has space group C2/c (No. 15), with a = 9.369 Å, b = 15.425 Å, c = 9.848 Å, α = 90.00°, β = 98.25° and γ = 90.00°. The distinct sites, in fractional coordinates, are La at (0.000, 0.094, 0.250), Tb at (0.000, 0.469, 0.750), Pr at (0.065, 0.326, 0.445), Pr at (0.097, 0.107, 0.620), Pr at (0.209, 0.275, 0.817) and Ho at (0.242, 0.453, 0.047).

As for the density of states at the Fermi level: 59.76 states/eV per cell.


# 17
Below is a relaxed structure of LaTbPr2Ho5, with properties calculated at the GGA-PBE level.

It has space group I4/mcm (No. 140), with a = 8.666 Å, b = 8.666 Å, c = 15.805 Å, α = 90.00°, β = 90.00° and γ = 90.00°. The distinct sites, in fractional coordinates, are La at (0.000, 0.500, 0.250), Tb at (0.000, 0.000, 0.250), Pr at (0.119, 0.381, 0.000), Ho at (0.000, 0.000, 0.000) and Ho at (0.209, 0.291, 0.361).

As for the density of states at the Fermi level: 40.48 states/eV per cell.


# 18
Below is a relaxed structure of LaTb2Pr4Ho2, with properties calculated at the GGA-PBE level.

It has space group C2/m (No. 12), with a = 15.457 Å, b = 5.151 Å, c = 8.137 Å, α = 90.00°, β = 108.18° and γ = 90.00°. The distinct sites, in fractional coordinates, are La at (0.000, 0.000, 0.000), Tb at (0.112, 0.000, 0.667), Pr at (0.054, 0.500, 0.333), Pr at (0.223, 0.000, 0.330) and Ho at (0.169, 0.500, 0.998).

As for the density of states at the Fermi level: 27.35 states/eV per cell.


# 19
Below is a relaxed structure of La3Tb6PrHo2, with properties calculated at the GGA-PBE level.

It has space group C2/m (No. 12), with a = 6.263 Å, b = 10.852 Å, c = 11.955 Å, α = 90.00°, β = 100.06° and γ = 90.00°. The distinct sites, in fractional coordinates, are La at (0.000, 0.000, 0.000), La at (0.000, 0.333, 0.000), Tb at (0.248, 0.000, 0.746), Tb at (0.249, 0.333, 0.746), Pr at (0.000, 0.500, 0.500) and Ho at (0.000, 0.167, 0.500).

As for the density of states at the Fermi level: 33.29 states/eV per cell.


no.,E_form (eV/atom),M_tot (μB/f.u.),calculated total energy (eV per cell)
1,0.018,0.0,-37.69
2,0.018,0.0,-74.57
3,0.111,0.0,-185.31
4,0.016,0.0,-112.81
5,0.015,0.0,-112.52
6,0.014,0.0,-113.06
7,0.393,0.0,-137.73
8,0.014,0.0,-112.76
9,0.028,0.0,-65.70
10,0.126,0.0,-168.27
11,0.251,0.0,-159.57
12,0.258,0.0,-164.34
13,0.070,0.0,-56.00
14,0.021,0.0,-37.42
15,0.028,0.0,-57.21
16,0.111,0.0,-185.13
17,0.247,0.0,-159.11
18,0.021,0.0,-84.55
19,0.019,0.0,-112.54